(1)
A plane-wave DFT calculation with meta-GGA SCAN was carried out for BaMgMnSe2 at its PBEsol-relaxed geometry.

```
BaMgMnSe2
1.0
4.928 0.000 0.000
0.000 4.928 0.000
0.000 0.000 5.521
Ba Mg Mn Se
1 1 1 2
Direct
0.000 0.000 0.000 Ba
0.500 0.500 0.000 Mg
0.000 0.000 0.500 Mn
0.000 0.500 0.500 Se
0.500 0.000 0.500 Se
```

ΔE_f (raw)   -0.298 eV per atom
Space group   No. 123

***

(2)
A plane-wave DFT calculation with meta-GGA SCAN was carried out for BaMgMo3 at its PBEsol-relaxed geometry.

```
BaMgMo3
1.0
4.893 0.000 0.000
0.000 4.893 0.000
0.000 0.000 4.893
Ba Mg Mo
1 1 3
Direct
0.000 0.000 0.000 Ba
0.500 0.500 0.500 Mg
0.000 0.500 0.500 Mo
0.500 0.000 0.500 Mo
0.500 0.500 0.000 Mo
```

Energy of formation   2.05 eV per atom
Space group   No. 221

***

(3)
A plane-wave DFT calculation with meta-GGA SCAN was carried out for BaMgMo2 at its PBEsol-relaxed geometry.

```
BaMgMo2
1.0
3.678 0.000 0.000
0.000 3.678 0.000
0.000 0.000 7.176
Ba Mg Mo
1 1 2
Direct
0.000 0.000 0.000 Ba
0.000 0.000 0.500 Mg
0.500 0.500 0.352 Mo
0.500 0.500 0.648 Mo
```

Energy of formation   0.79 eV per atom
Space group   No. 123